Density functional theory data (PBE-GGA) for an optimized crystal structure of SrHg2IN.

Results
DFT total energy = -2.62 eV/atom

Cell lengths 4.9976, 4.9976, 5.3572 Å; angles 90.00, 90.00, 90.00 degrees
Fractional coordinates of all 5 atoms:
Sr (0.0000, 0.0000, 0.0000)
Hg (0.0000, 0.5000, 0.5000)
Hg (0.5000, 0.0000, 0.5000)
I (0.5000, 0.5000, 0.0000)
N (0.0000, 0.0000, 0.5000)



Density functional theory data (PBE-GGA) for an optimized crystal structure of Y4MnTl.

Results
DFT total energy = -5.71 eV/atom
Energy relative to the elements = 527 meV/atom

Cell lengths 6.3091, 6.3091, 6.3091 Å; angles 60.00, 60.00, 60.00 degrees
Fractional coordinates of all 6 atoms:
Y (0.1247, 0.1247, 0.1247)
Y (0.1247, 0.1247, 0.6260)
Y (0.1247, 0.6260, 0.1247)
Y (0.6260, 0.1247, 0.1247)
Mn (0.7500, 0.7500, 0.7500)
Tl (0.5000, 0.5000, 0.5000)



The lowest DFT total energy belongs to which entry? Y4MnTl



The lowest DFT total energy belongs to which entry? Y4MnTl